## one
{
  "formula": "MgBe2P",
  "functional": "PBE",
  "state": "optimized geometry",
  "magnetic_moment_mub_per_fu": 0.00,
  "volume_a3_per_cell": 59.6,
  "cell": [[6.163, -0.001, -0.001], [5.206, 3.298, -0.001], [5.206, 1.510, 2.932]],
  "species": ["P", "Mg", "Be", "Be"],
  "frac_coords": [[0.750, 0.750, 0.750], [0.250, 0.250, 0.250], [0.032, 0.032, 0.032], [0.468, 0.468, 0.468]]
}

---

## two
{
  "formula": "MgBe2P",
  "functional": "PBE",
  "state": "optimized geometry",
  "magnetic_moment_mub_per_fu": 0.00,
  "volume_a3_per_cell": 117.8,
  "cell": [[-0.890, 3.975, 5.530], [3.697, -4.401, 3.759], [3.482, 1.046, 4.074]],
  "species": ["P", "P", "Mg", "Mg", "Be", "Be", "Be", "Be"],
  "frac_coords": [[0.000, 0.000, 0.000], [0.750, 0.250, 0.500], [0.500, 0.500, 0.000], [0.250, 0.750, 0.500], [0.705, 0.125, 0.250], [0.045, 0.625, 0.250], [0.375, 0.295, 0.750], [0.875, 0.955, 0.750]]
}

---

one ends up most stable, edging out the next structure by 89 meV per atom.